Here is a relaxed structure of LiVSi2 from Alexandria via LeMat-Bulk. Energies are from PBE-GGA.

```
data_LiVSi2
_chemical_formula_sum 'Li4 V4 Si8'
_space_group_name_H-M_alt 'F m -3 m'
_space_group_IT_number 225
_space_group_name_Hall '-F 4 2 3'
_cell_length_a 6.0118
_cell_length_b 6.0118
_cell_length_c 6.0118
_cell_angle_alpha 90.00
_cell_angle_beta 90.00
_cell_angle_gamma 90.00
loop_
_atom_site_label
_atom_site_fract_x
_atom_site_fract_y
_atom_site_fract_z
_atom_site_occupancy
Li1 0.0000 0.0000 0.0000 1
V1 0.0000 0.0000 0.5000 1
Si1 0.2500 0.2500 0.2500 1
```

Properties
The value obtained for the energy relative to the elements, uncorrected is -0.0133 eV/atom. The density of states at the Fermi level is 0.46 states/eV/atom. As for the total energy: -87.73 eV per cell. The excess energy over the best structure of this formula in the dataset is 239 meV/atom.